# GaWI2O

GaWI2O after structural relaxation (PBE with a Hubbard U, Alexandria).

Cell lengths 6.070, 6.070, 3.914 Å; angles 90.00, 90.00, 90.00 degrees
Site moments in Bohr magnetons follow the coordinates.
Sites, in units of the cell vectors:
I1 0.000 0.500 0.000  -0.01
I2 0.500 0.000 0.000  -0.01
O1 0.000 0.000 0.500  -0.21
Ga1 0.500 0.500 0.500  0.01
W1 0.000 0.000 0.000  2.62

Calculated values
**Energy above the lowest structure with this stoichiometry**: 0 meV per atom